[1]
The following is a DFT calculation (GGA-PBEsol) of crystalline SrMgSbPd2 at its relaxed geometry.

Summary:
Its volume is 150.61 Å³ per cell. The final energy comes out at -3.177 eV/atom.

Cell lengths 5.0323, 5.0323, 5.9471 Å; angles 90.00, 90.00, 90.00 degrees
Sites, in units of the cell vectors:
Sr1 0.0000 0.0000 0.0000
Mg1 0.5000 0.5000 0.5000
Sb1 0.0000 0.0000 0.5000
Pd1 0.0000 0.5000 0.0000
Pd2 0.5000 0.0000 0.0000

=====

[2]
The following is a DFT calculation (GGA-PBEsol) of crystalline SmF3 at its relaxed geometry.

Summary:
Its volume is 201.13 Å³ per cell. The final energy comes out at -6.889 eV/atom.

Cell lengths 6.5975, 6.9857, 4.3640 Å; angles 90.00, 90.00, 90.00 degrees
Sites, in units of the cell vectors:
Sm1 0.1316 0.2500 0.0663
Sm2 0.3684 0.7500 0.5663
Sm3 0.6316 0.2500 0.4337
Sm4 0.8684 0.7500 0.9337
F1 0.0185 0.7500 0.4236
F2 0.1647 0.5644 0.8905
F3 0.1647 0.9356 0.8905
F4 0.3353 0.0644 0.3905
F5 0.3353 0.4356 0.3905
F6 0.4815 0.2500 0.9236
F7 0.5185 0.7500 0.0764
F8 0.6647 0.5644 0.6095
F9 0.6647 0.9356 0.6095
F10 0.8353 0.0644 0.1095
F11 0.8353 0.4356 0.1095
F12 0.9815 0.2500 0.5764

=====

Number 1: formation energy (no corrections) 0.83 eV/atom. Number 2: formation energy (no corrections) -4.17 eV/atom.